# Hf3SbRu (PBE-GGA, relaxed)
data_Hf3SbRu
_chemical_formula_sum 'Hf3 Sb1 Ru1'
_cell_length_a 5.131
_cell_length_b 5.131
_cell_length_c 5.131
_cell_angle_alpha 90.00
_cell_angle_beta 90.00
_cell_angle_gamma 90.00
_symmetry_space_group_name_H-M 'P m -3 m'
_symmetry_Int_Tables_number 221
_symmetry_space_group_name_Hall '-P 4 2 3'
loop_
_atom_site_label
_atom_site_type_symbol
_atom_site_fract_x
_atom_site_fract_y
_atom_site_fract_z
_atom_site_occupancy
Hf1 Hf 0.000 0.000 0.500 1
Sb1 Sb 0.000 0.000 0.000 1
Ru1 Ru 0.500 0.500 0.500 1
# Volume, Å³/atom: 27.02
# Excess energy over the best structure of this formula in the dataset, kJ/mol of atoms: 125.2
# Total magnetization, μB/cell: 1.41
# Formation energy (no corrections), kJ/mol of formula units: 667